The following is a GGA-PBEsol calculation of crystalline K2Ag2Pb at its relaxed geometry, from Alexandria.

Values from the calculation:
E_tot	-21.57	eV/cell
magnetization	0.00	μB per atom
density of states at the Fermi level	0.5546	states/eV/atom
theoretical density	5.5	g cm⁻³

abc: 4.5591 4.5591 14.4324
angles: 90.00 90.00 90.00
Closest atoms and distances in Å follow each position.
Space group I4/mmm (No. 139)
Asymmetric unit:
K1 0.0000 0.5000 0.2500 x4  4 K 3.22, 4 Ag 3.25
Ag1 0.0000 0.0000 0.0895 x4  1 Ag 2.58
Pb1 0.0000 0.0000 0.5000 x2  8 Ag 3.47

***

The following is a GGA-PBEsol calculation of crystalline NiHgPb2 at its relaxed geometry, from Alexandria.

Values from the calculation:
E_tot	-14.27	eV/cell
magnetization	0.00	μB per atom
density of states at the Fermi level	0.4706	states/eV/atom
theoretical density	12.2	g cm⁻³

abc: 3.2480 3.2480 8.6897
angles: 90.00 90.00 90.00
Closest atoms and distances in Å follow each position.
Space group P4/mmm (No. 123)
Asymmetric unit:
Ni1 0.0000 0.0000 0.0000 x1  8 Pb 2.83
Hg1 0.0000 0.0000 0.5000 x1  4 Hg 3.25, 8 Pb 3.54
Pb1 0.5000 0.5000 0.1903 x2  4 Ni 2.83

***

The following is a GGA-PBEsol calculation of crystalline Y5Zn24 at its relaxed geometry, from Alexandria.

Values from the calculation:
E_tot	-157.17	eV/cell
magnetization	0.00	μB per atom
density of states at the Fermi level	0.3139	states/eV/atom
theoretical density	7.0	g cm⁻³

abc: 9.8598 9.8598 9.8598
angles: 90.00 90.00 90.00
Closest atoms and distances in Å follow each position.
Space group I-43m (No. 217)
Asymmetric unit:
Y1 0.0000 0.0000 0.0000 x2  12 Zn 3.05, 4 Y 3.32
Y2 0.1942 0.1942 0.8058 x8  15 Zn 2.88-3.10
Zn1 0.0224 0.3555 0.3555 x24  1 Zn 2.49
Zn2 0.0883 0.0883 0.2830 x24  4 Zn 2.46-2.72

***

The following is a GGA-PBEsol calculation of crystalline CsW3Br7 at its relaxed geometry, from Alexandria.

Values from the calculation:
energy relative to the elements, uncorrected	-720	meV/atom
E_tot	-253.51	eV/cell
magnetization	0.00	μB per atom
density of states at the Fermi level	0.0000	states/eV/atom
theoretical density	6.1	g cm⁻³

abc: 10.0939 10.0939 15.3747
angles: 90.00 90.00 120.00
Closest atoms and distances in Å follow each position.
Space group P-31c (No. 163)
Asymmetric unit:
Cs1 0.0000 0.0000 0.0000 x2  6 Br 3.61
Cs2 0.3333 0.6667 0.2500 x2  12 Br 3.76-3.96
W1 0.1817 0.5168 0.6804 x12  5 Br 2.59-2.64, 4 W 2.61-2.64
Br1 0.0367 0.3638 0.8216 x12  3 W 2.61-2.64
Br2 0.0405 0.3490 0.0887 x12  1 W 2.59
Br3 0.3333 0.6667 0.5429 x4  3 W 2.61

***

The following is a GGA-PBEsol calculation of crystalline Be2CrCl at its relaxed geometry, from Alexandria.

Values from the calculation:
energy relative to the elements, uncorrected	1178	meV/atom
relative energy among the computed polymorphs	3.10	eV per formula unit
E_tot	-62.15	eV/cell
magnetization	0.82	μB per atom
density of states at the Fermi level	0.6290	states/eV/atom
theoretical density	3.4	g cm⁻³

abc: 5.8984 5.8984 5.8984
angles: 90.00 90.00 90.00
Closest atoms and distances in Å follow each position.
Space group Fm-3m (No. 225)
Asymmetric unit:
Be1 0.2500 0.2500 0.2500 x8  4 Cr 2.55, 4 Cl 2.55
Cr1 0.0000 0.0000 0.0000 x4  8 Be 2.55
Cl1 0.0000 0.0000 0.5000 x4  8 Be 2.55

***

The following is a GGA-PBEsol calculation of crystalline La2SiHg at its relaxed geometry, from Alexandria.

Values from the calculation:
energy relative to the elements, uncorrected	-585	meV/atom
E_tot	-19.35	eV/cell
magnetization	0.00	μB per atom
density of states at the Fermi level	0.8201	states/eV/atom
theoretical density	8.1	g cm⁻³

abc: 3.4604 4.0179 7.4442
angles: 90.00 90.00 90.00
Closest atoms and distances in Å follow each position.
Space group Pmmm (No. 47)
Asymmetric unit:
La1 0.0000 0.0000 0.2265 x2  4 Si 3.14, 4 Hg 3.34, 3 La 3.37-3.46
Si1 0.5000 0.5000 0.0000 x1  8 La 3.14, 2 Si 3.46
Hg1 0.5000 0.5000 0.5000 x1  8 La 3.34, 2 Hg 3.46, 2 Si 3.72

***

The following is a GGA-PBEsol calculation of crystalline BMoF2 at its relaxed geometry, from Alexandria.

Values from the calculation:
energy relative to the elements, uncorrected	709	meV/atom
E_tot	-79.20	eV/cell
magnetization	0.00	μB per atom
density of states at the Fermi level	0.6261	states/eV/atom
theoretical density	5.2	g cm⁻³

abc: 4.6418 4.6418 8.5061
angles: 90.00 90.00 90.00
Closest atoms and distances in Å follow each position.
Space group I-42d (No. 122)
Asymmetric unit:
B1 0.0000 0.0000 0.0000 x4  4 F 1.65
Mo1 0.0000 0.0000 0.5000 x4  4 F 2.41
F1 0.1065 0.2500 0.1250 x8  2 B 1.65

***

The following is a GGA-PBEsol calculation of crystalline FeSiOs2 at its relaxed geometry, from Alexandria.

Values from the calculation:
energy relative to the elements, uncorrected	32	meV/atom
E_tot	-117.04	eV/cell
magnetization	0.50	μB per atom
density of states at the Fermi level	1.0822	states/eV/atom
theoretical density	14.9	g cm⁻³

abc: 2.7357 2.7357 23.9478
angles: 90.00 90.00 120.00
Closest atoms and distances in Å follow each position.
Space group R-3m (No. 166, hexagonal axes)
Asymmetric unit:
Fe1 0.0000 0.0000 0.0000 x3  6 Os 2.58, 6 Fe 2.74
Si1 0.0000 0.0000 0.5000 x3  6 Os 2.51, 6 Si 2.74
Os1 0.0000 0.0000 0.2482 x6  3 Si 2.51, 3 Fe 2.58, 6 Os 2.74